No. 1
A plane-wave DFT calculation with PBE was carried out for a relaxed CsAgSnTe3 crystal.

Calculated values
ΔE to the lowest computed polymorph, meV per atom: 40
SG: C2/m (12)
Crystal system: monoclinic
E_tot, eV/atom: -3.23
ρ, g cm⁻³: 5.751

Structure (extended XYZ):
```
12
Lattice="9.007 -2.450 0.000 9.007 2.450 0.000 -0.007 0.000 9.710" Properties=species:S:1:pos:R:3 pbc="T T T"
Ag 9.274 0.000 3.186
Ag 8.734 0.000 6.525
Cs 2.722 0.000 0.899
Cs 15.286 0.000 8.811
Sn 15.119 0.000 3.986
Sn 2.889 0.000 5.725
Te 9.007 0.000 0.000
Te 6.669 0.000 2.035
Te 12.141 0.000 3.711
Te -0.003 0.000 4.855
Te 5.867 0.000 6.000
Te 11.339 0.000 7.676
```

---

No. 2
A plane-wave DFT calculation with PBE was carried out for a relaxed Tb2DyCd3Cu2Ag crystal.

Calculated values
Formation energy, meV per atom: -305
SG: Amm2 (38)
Total moment, μB/f.u.: 0.00
Crystal system: orthorhombic
E_tot, eV/atom: -3.28
ρ, g cm⁻³: 8.846

Structure (extended XYZ):
```
9
Lattice="-2.678 -1.629 2.259 5.533 -3.412 4.099 -2.536 6.968 2.018" Properties=species:S:1:pos:R:3 pbc="T T T"
Ag 2.996 3.554 6.115
Cd -0.533 0.142 2.774
Cd 2.336 0.871 6.703
Cd 0.173 3.654 6.145
Cu 1.502 -0.763 4.535
Cu -1.182 2.690 3.843
Dy 1.768 2.097 3.608
Tb 2.269 -1.399 1.681
Tb -1.040 2.857 0.828
```